Record 1
First-principles (PBE-GGA) data for an optimized crystal structure of ZnC, as listed in Alexandria via LeMat-Bulk.

theoretical density	4990	kg/m3
energy above the most stable polymorph in this dataset	1614.3	meV per atom
E_form	1.696	eV per atom

Structure (POSCAR):
```
ZnC
1.0
-2.698 1.866 -0.479
-1.682 -0.218 -2.848
-3.002 -1.407 -0.049
C Zn
1 1
Cartesian
0.000 0.000 0.000
-5.536 0.181 -2.532
```

Record 2
First-principles (PBE-GGA) data for an optimized crystal structure of ZnC, as listed in Alexandria via LeMat-Bulk.

theoretical density	3805	kg/m3
energy above the most stable polymorph in this dataset	810.3	meV per atom
E_form	0.892	eV per atom

Structure (POSCAR):
```
ZnC
1.0
2.792 -4.835 0.000
2.792 4.835 0.000
0.000 0.000 5.006
Zn C
4 4
Cartesian
2.792 1.612 3.755
0.000 0.000 3.755
0.000 0.000 1.252
2.792 -1.612 1.252
2.792 -1.612 4.378
2.792 1.612 1.875
2.792 -1.612 3.131
2.792 1.612 0.628
```

Record 3
First-principles (PBE-GGA) data for an optimized crystal structure of Zn5C, as listed in Alexandria via LeMat-Bulk.

theoretical density	6849	kg/m3
energy above the most stable polymorph in this dataset	200.9	meV per atom
E_form	0.732	eV per atom

Structure (POSCAR):
```
Zn5C
1.0
2.300 -3.984 0.000
2.300 3.984 0.000
0.000 0.000 4.486
Zn C
5 1
Cartesian
2.300 -1.328 2.243
1.552 2.688 0.000
1.552 -2.688 0.000
2.300 1.328 2.243
1.496 0.000 0.000
0.000 0.000 2.243
```